1.
Below is a geometry-optimized SrEuZr4O12 structure, with properties calculated at the GGA-PBE level.

Results
The symmetry is Amm2. The value obtained for the density of states at the Fermi level is 13.05 states/eV/cell.

a b c (Å): 5.818 5.818 8.304
angles (deg): 90.00 90.00 89.88
Each line ends with the local moment (μB).
Sites, in units of the cell vectors:
Sr (0.027, 0.027, 0.500)  0.00
Eu (0.485, 0.485, 0.000)  6.28
Zr (0.987, 0.512, 0.748)  -0.04
Zr (0.987, 0.512, 0.252)  -0.04
Zr (0.512, 0.987, 0.252)  -0.04
Zr (0.512, 0.987, 0.748)  -0.04
O (0.698, 0.296, 0.784)  0.15
O (0.296, 0.698, 0.784)  0.15
O (0.296, 0.698, 0.216)  0.15
O (0.698, 0.296, 0.216)  0.15
O (0.233, 0.233, 0.783)  0.34
O (0.812, 0.812, 0.705)  0.08
O (0.812, 0.812, 0.295)  0.08
O (0.233, 0.233, 0.217)  0.34
O (0.918, 0.539, 0.000)  0.31
O (0.001, 0.449, 0.500)  0.10
O (0.539, 0.918, 0.000)  0.31
O (0.449, 0.001, 0.500)  0.10


2.
Below is a geometry-optimized EuTa2O6 structure, with properties calculated at the GGA-PBE level.

Results
The symmetry is P4/mmm. The value obtained for the density of states at the Fermi level is 12.27 states/eV/cell.

a b c (Å): 3.968 3.968 8.014
angles (deg): 90.00 90.00 90.00
Each line ends with the local moment (μB).
Sites, in units of the cell vectors:
Eu (0.000, 0.000, 0.000)  6.73
Ta (0.500, 0.500, 0.260)  0.04
Ta (0.500, 0.500, 0.740)  0.04
O (0.500, 0.500, 0.500)  0.00
O (0.500, 0.500, 0.000)  -0.01
O (0.000, 0.500, 0.769)  -0.01
O (0.500, 0.000, 0.231)  -0.01
O (0.500, 0.000, 0.769)  -0.01
O (0.000, 0.500, 0.231)  -0.01


3.
Below is a geometry-optimized Eu3TaO6 structure, with properties calculated at the GGA-PBE level.

Results
The symmetry is Fm-3m. The value obtained for the density of states at the Fermi level is 40.84 states/eV/cell.

a b c (Å): 6.017 6.017 6.017
angles (deg): 60.00 60.00 60.00
Each line ends with the local moment (μB).
Sites, in units of the cell vectors:
Eu (0.750, 0.750, 0.750)  6.76
Eu (0.500, 0.500, 0.500)  -6.29
Eu (0.250, 0.250, 0.250)  6.76
Ta (0.000, 0.000, 0.000)  -0.01
O (0.234, 0.766, 0.766)  0.00
O (0.766, 0.766, 0.234)  0.00
O (0.234, 0.234, 0.766)  0.00
O (0.234, 0.766, 0.234)  0.00
O (0.766, 0.234, 0.234)  0.00
O (0.766, 0.234, 0.766)  0.00


| no. | calculated volume (A^3/atom) | calculated total energy (eV/cell) |
| --- | --- | --- |
| 1 | 15.62 | -154.09 |
| 2 | 14.02 | -90.69 |
| 3 | 15.41 | -100.58 |